# 1
Here is a relaxed structure of Th6Fe2Au3 from Alexandria. Energies are from PBE.

Properties
V: 24.98 Å³ per atom
SG: C2/m, No. 12
DOS at the Fermi energy: 10.97 states/eV/cell
final energy: -74.64 eV for the cell shown
formation energy from the elements: -0.31 eV per atom

Cell: 6.2787 6.2787 12.0619 Å, 79.64 79.64 36.04°
Element x y z (fractional)
Th: 0.9087 0.9087 0.2923
Th: 0.0913 0.0913 0.7077
Th: 0.8464 0.8464 0.5877
Th: 0.1536 0.1536 0.4123
Th: 0.6412 0.6412 0.1370
Th: 0.3588 0.3588 0.8630
Fe: 0.4216 0.4216 0.4353
Fe: 0.5784 0.5784 0.5647
Au: 0.0000 0.0000 0.0000
Au: 0.6604 0.6604 0.8787
Au: 0.3396 0.3396 0.1213


# 2
Here is a relaxed structure of Sr5Br from Alexandria. Energies are from PBE.

Properties
V: 57.16 Å³ per atom
SG: F-43m, No. 216
DOS at the Fermi energy: 4.27 states/eV/cell
final energy: -10.22 eV for the cell shown
energy relative to the lowest polymorph listed for this composition: 409 meV per atom

Cell: 7.8570 7.8570 7.8570 Å, 60.00 60.00 60.00°
Element x y z (fractional)
Sr: 0.2500 0.2500 0.2500
Sr: 0.6238 0.6238 0.6238
Sr: 0.6238 0.6238 0.1285
Sr: 0.1285 0.6238 0.6238
Sr: 0.6238 0.1285 0.6238
Br: 0.0000 0.0000 0.0000


Question: Number 2 is which compound?
Answer: Sr5Br